[1]
# TmMn6Ga6 (PBE-GGA, optimized geometry)
# **Formation energy from the elements**: -211 meV/atom
# **DFT total energy**: -6.1843 eV per atom
# **V**: 14.6 Å³/atom
data_TmMn6Ga6
_chemical_formula_sum 'Tm2 Mn12 Ga12'
_space_group_name_H-M_alt 'I m m m'
_space_group_IT_number 71
_space_group_name_Hall '-I 2 2'
_cell_length_a 5.1728
_cell_length_b 8.5740
_cell_length_c 8.5874
_cell_angle_alpha 90.00
_cell_angle_beta 90.00
_cell_angle_gamma 90.00
loop_
_atom_site_label
_atom_site_fract_x
_atom_site_fract_y
_atom_site_fract_z
Tm1 0.0000 0.0000 0.0000
Mn1 0.0000 0.5000 0.2568
Mn2 0.2500 0.2500 0.2500
Ga1 0.0000 0.0000 0.3327
Ga2 0.0000 0.3109 0.5000
Ga3 0.0000 0.3418 0.0000

***

[2]
# SrGaOs2O (PBE-GGA, optimized geometry)
# **DFT total energy**: -4.9404 eV per atom
# **V**: 24.8 Å³/atom
data_SrGaOs2O
_chemical_formula_sum 'Sr1 Ga1 Os2 O1'
_space_group_name_H-M_alt 'P 4/m m m'
_space_group_IT_number 123
_space_group_name_Hall '-P 4 2'
_cell_length_a 4.4805
_cell_length_b 4.4805
_cell_length_c 6.1693
_cell_angle_alpha 90.00
_cell_angle_beta 90.00
_cell_angle_gamma 90.00
loop_
_atom_site_label
_atom_site_fract_x
_atom_site_fract_y
_atom_site_fract_z
Sr1 0.0000 0.0000 0.0000
Ga1 0.0000 0.0000 0.5000
Os1 0.0000 0.5000 0.5000
O1 0.5000 0.5000 0.0000

***

[3]
# AcUTeSe2 (PBE-GGA, optimized geometry)
# **DFT total energy**: -6.1762 eV per atom
# **V**: 32.1 Å³/atom
data_AcUTeSe2
_chemical_formula_sum 'Ac2 U2 Te2 Se4'
_space_group_name_H-M_alt 'I 4 m m'
_space_group_IT_number 107
_space_group_name_Hall 'I 4 -2'
_cell_length_a 4.7230
_cell_length_b 4.7230
_cell_length_c 14.4105
_cell_angle_alpha 90.00
_cell_angle_beta 90.00
_cell_angle_gamma 90.00
loop_
_atom_site_label
_atom_site_fract_x
_atom_site_fract_y
_atom_site_fract_z
Ac1 0.0000 0.0000 0.0000
U1 0.0000 0.0000 0.2597
Te1 0.0000 0.0000 0.6262
Se1 0.0000 0.5000 0.3663

***

[4]
# HoErInAu (PBE-GGA, optimized geometry)
# **Distance to the lowest polymorph of the same formula**: 0.000 eV per atom
# **Formation energy from the elements**: -672 meV/atom
# **DFT total energy**: -4.4609 eV per atom
# **V**: 24.6 Å³/atom
data_HoErInAu
_chemical_formula_sum 'Ho1 Er1 In1 Au1'
_space_group_name_H-M_alt 'P 4 m m'
_space_group_IT_number 99
_space_group_name_Hall 'P 4 -2'
_cell_length_a 3.5867
_cell_length_b 3.5867
_cell_length_c 7.6369
_cell_angle_alpha 90.00
_cell_angle_beta 90.00
_cell_angle_gamma 90.00
loop_
_atom_site_label
_atom_site_fract_x
_atom_site_fract_y
_atom_site_fract_z
Ho1 0.0000 0.0000 0.0000
Er1 0.0000 0.0000 0.5382
In1 0.5000 0.5000 0.2697
Au1 0.5000 0.5000 0.7649

***

[5]
# Cd2PRh (PBE-GGA, optimized geometry)
# **Formation energy from the elements**: -137 meV/atom
# **DFT total energy**: -3.7850 eV per atom
# **V**: 18.7 Å³/atom
data_Cd2PRh
_chemical_formula_sum 'Cd4 P2 Rh2'
_space_group_name_H-M_alt 'I m m 2'
_space_group_IT_number 44
_space_group_name_Hall 'I 2 -2'
_cell_length_a 3.1808
_cell_length_b 4.6065
_cell_length_c 10.2241
_cell_angle_alpha 90.00
_cell_angle_beta 90.00
_cell_angle_gamma 90.00
loop_
_atom_site_label
_atom_site_fract_x
_atom_site_fract_y
_atom_site_fract_z
Cd1 0.0000 0.0000 0.0000
Cd2 0.0000 0.5000 0.2001
P1 0.0000 0.0000 0.4087
Rh1 0.0000 0.5000 0.7472

***

[6]
# Ca2MgZr (PBE-GGA, optimized geometry)
# **Formation energy from the elements**: 149 meV/atom
# **DFT total energy**: -3.3872 eV per atom
# **V**: 30.3 Å³/atom
data_Ca2MgZr
_chemical_formula_sum 'Ca2 Mg1 Zr1'
_space_group_name_H-M_alt 'P 4 m m'
_space_group_IT_number 99
_space_group_name_Hall 'P 4 -2'
_cell_length_a 3.5584
_cell_length_b 3.5584
_cell_length_c 9.5647
_cell_angle_alpha 90.00
_cell_angle_beta 90.00
_cell_angle_gamma 90.00
loop_
_atom_site_label
_atom_site_fract_x
_atom_site_fract_y
_atom_site_fract_z
Ca1 0.0000 0.0000 0.0000
Ca2 0.5000 0.5000 0.3251
Mg1 0.0000 0.0000 0.5618
Zr1 0.5000 0.5000 0.7446

***

[7]
# SmDyGaPd (PBE-GGA, optimized geometry)
# **Distance to the lowest polymorph of the same formula**: 0.045 eV per atom
# **Formation energy from the elements**: -669 meV/atom
# **DFT total energy**: -5.0539 eV per atom
# **V**: 23.1 Å³/atom
data_SmDyGaPd
_chemical_formula_sum 'Sm4 Dy4 Ga4 Pd4'
_space_group_name_H-M_alt 'F -4 3 m'
_space_group_IT_number 216
_space_group_name_Hall 'F -4 2 3'
_cell_length_a 7.1810
_cell_length_b 7.1810
_cell_length_c 7.1810
_cell_angle_alpha 90.00
_cell_angle_beta 90.00
_cell_angle_gamma 90.00
loop_
_atom_site_label
_atom_site_fract_x
_atom_site_fract_y
_atom_site_fract_z
Sm1 0.0000 0.0000 0.0000
Dy1 0.0000 0.0000 0.5000
Ga1 0.2500 0.2500 0.2500
Pd1 0.2500 0.2500 0.7500

***

[8]
# Pr2DyHo8 (PBE-GGA, optimized geometry)
# **Formation energy from the elements**: 22 meV/atom
# **DFT total energy**: -4.5946 eV per atom
# **V**: 31.9 Å³/atom
data_Pr2DyHo8
_chemical_formula_sum 'Pr2 Dy1 Ho8'
_space_group_name_H-M_alt 'P -1'
_space_group_IT_number 2
_space_group_name_Hall '-P 1'
_cell_length_a 6.1629
_cell_length_b 6.1672
_cell_length_c 9.4239
_cell_angle_alpha 90.06
_cell_angle_beta 96.31
_cell_angle_gamma 99.55
loop_
_atom_site_label
_atom_site_fract_x
_atom_site_fract_y
_atom_site_fract_z
Pr1 0.1378 0.2737 0.0461
Dy1 0.5000 0.0000 0.5000
Ho1 0.0443 0.0927 0.6786
Ho2 0.2277 0.4542 0.4101
Ho3 0.3173 0.6384 0.7688
Ho4 0.4117 0.8189 0.1394

***

Q: Number 6 is which compound?
A: Ca2MgZr

***

Q: Number 4 is which compound?
A: HoErInAu

***

Q: The highest V belongs to which entry?
A: AcUTeSe2

***

Q: Among the records above, which one has the highest DFT total energy?
A: Ca2MgZr